1.
Density functional theory data (PBE) for a geometry-optimized Zr2AlSi structure.

Lattice parameters (Å, degrees): 9.8062 9.8062 9.8062 17.92 17.92 17.92
Last column: nearest neighbours and their distance in Å.
Fractional positions:
Si (0.7539, 0.7539, 0.7539)  3 Al 2.73, 3 Zr 2.85, 6 Si 3.05
Zr (0.2437, 0.2437, 0.2437)  3 Al 3.01, 9 Zr 3.05-3.37
Al (0.4927, 0.4927, 0.4927)  3 Si 2.73, 3 Zr 3.01, 6 Al 3.05
Zr (0.0097, 0.0097, 0.0097)  3 Si 2.85, 6 Zr 3.05

Values from the calculation:
The formation energy from raw total energies comes out at -0.023 eV/atom. As for the total energy: -6.59 eV/atom. The space group is R3m, No. 160. Its energy above the lowest structure with this stoichiometry is 711 meV per atom.

2.
Density functional theory data (PBE) for a geometry-optimized PrSm5HoEr2 structure.

Lattice parameters (Å, degrees): 5.6359 10.4827 10.7287 90.00 90.00 105.59
Last column: nearest neighbours and their distance in Å.
Fractional positions:
Sm (0.7180, 0.4360, 0.8068)  1 Ho 3.08, 1 Er 3.36, 2 Sm 3.43
Er (0.8908, 0.7816, 0.2380)  7 Sm 3.43-3.83, 1 Pr 3.47, 2 Ho 3.69
Sm (0.0170, 0.0339, 0.0241)  2 Ho 3.24, 3 Er 3.43-3.59
Ho (0.5878, 0.1757, 0.9563)  5 Sm 3.08-3.33
Sm (0.4790, 0.9579, 0.7406)  2 Ho 3.19-3.33, 2 Sm 3.46-3.51, 2 Er 3.51
Sm (0.5210, 0.0421, 0.2406)  2 Ho 3.19-3.33, 2 Sm 3.46-3.51, 2 Er 3.51
Ho (0.4122, 0.8243, 0.4563)  5 Sm 3.08-3.33
Er (0.8844, 0.7688, 0.8187)  9 Sm 3.36-3.74, 1 Pr 3.75
Pr (0.2023, 0.4046, 0.0095)  2 Er 3.47-3.75, 8 Sm 3.51-3.86, 2 Ho 3.69
Sm (0.3933, 0.7866, 0.0252)  5 Sm 3.46-3.77, 4 Er 3.59-3.63, 1 Pr 3.86
Sm (0.6067, 0.2134, 0.5252)  5 Sm 3.46-3.77, 4 Er 3.59-3.63, 1 Pr 3.86
Pr (0.7977, 0.5954, 0.5095)  2 Er 3.47-3.75, 8 Sm 3.51-3.86, 2 Ho 3.69
Sm (0.2982, 0.5965, 0.7047)  3 Sm 3.43-3.67, 3 Pr 3.51-3.80, 1 Ho 3.52, 3 Er 3.53-3.83
Er (0.1156, 0.2312, 0.3187)  9 Sm 3.36-3.74, 1 Pr 3.75
Er (0.1092, 0.2184, 0.7380)  7 Sm 3.43-3.83, 1 Pr 3.47, 2 Ho 3.69
Sm (0.9830, 0.9661, 0.5241)  2 Ho 3.24, 3 Er 3.43-3.59
Sm (0.7018, 0.4035, 0.2047)  3 Sm 3.43-3.67, 3 Pr 3.51-3.80, 1 Ho 3.52, 3 Er 3.53-3.83
Sm (0.2820, 0.5640, 0.3068)  1 Ho 3.08, 1 Er 3.36, 2 Sm 3.43

Values from the calculation:
As for the total energy: -4.53 eV/atom. For the formation energy, the calculation gives 0.1500 eV/atom. The space group is Cmc2_1, No. 36.

Number 1: DOS(E_F) 3.2 states/eV per cell. Number 2: DOS(E_F) 28.1 states/eV per cell.